1.
This record from Alexandria describes a relaxed structure of Sm3Ho2Se8. The functional is PBE.

Cell lengths 7.0799, 8.3182, 8.3230 Å; angles 119.98, 107.11, 90.00 degrees
With the nearest neighbours (Å) after each atom.
Fractional coordinates of all 13 atoms:
Se 0.9299 0.1216 0.2433  1 Ho 2.90, 3 Sm 2.95
Se 0.5831 0.6344 0.7466  2 Sm 2.89-2.90, 2 Ho 2.92
Se 0.1044 0.3805 0.7610  1 Ho 2.82, 2 Sm 2.88
Se 0.8956 0.6195 0.2390  1 Ho 2.82, 2 Sm 2.88
Se 0.4169 0.8878 0.2534  2 Sm 2.89-2.90, 2 Ho 2.92
Se 0.0701 0.8784 0.7567  1 Ho 2.90, 3 Sm 2.95
Se 0.5831 0.1122 0.7466  2 Sm 2.89-2.90, 2 Ho 2.92
Se 0.4169 0.3656 0.2534  2 Sm 2.89-2.90, 2 Ho 2.92
Sm 0.5000 0.0000 0.0000  6 Se 2.89-2.95
Sm 0.0000 0.7377 0.0000  6 Se 2.88-2.95
Sm 0.0000 0.2623 0.0000  6 Se 2.88-2.95
Ho 0.3399 0.2576 0.5151  6 Se 2.82-2.92
Ho 0.6601 0.7424 0.4849  6 Se 2.82-2.92

Summary:
space-group type: C2/m
theoretical density: 5.87 Mg/m³
formation energy (no corrections): -1679 meV/atom
DOS(E_F): 0.567 states/eV per atom

2.
This record from Alexandria describes a relaxed structure of SmHo2Se. The functional is PBE.

Cell lengths 3.7807, 3.7807, 9.7383 Å; angles 78.81, 78.81, 60.00 degrees
With the nearest neighbours (Å) after each atom.
Fractional coordinates of all 4 atoms:
Sm 0.4996 0.4996 0.5012  6 Ho 3.61-3.64, 6 Sm 3.78
Ho 0.2685 0.2685 0.1944  3 Se 2.86
Ho 0.0651 0.0651 0.8046  3 Se 2.86
Se 0.6667 0.6667 0.9998  6 Ho 2.86

Summary:
energy above the most stable polymorph in this dataset: 2 meV/atom
space-group type: R3m
theoretical density: 7.90 Mg/m³
formation energy (no corrections): -801 meV/atom
DOS(E_F): 0.871 states/eV per atom

3.
This record from Alexandria describes a relaxed structure of Sm2HoSe3. The functional is PBE.

Cell lengths 4.0652, 4.0652, 21.0295 Å; angles 90.00, 90.00, 120.00 degrees
With the nearest neighbours (Å) after each atom.
Fractional coordinates of all 12 atoms:
Se 0.0000 0.0000 0.0000  6 Sm 2.92
Se 0.6667 0.3333 0.8317  3 Ho 2.91, 3 Sm 2.96
Se 0.3333 0.6667 0.3317  3 Ho 2.91, 3 Sm 2.96
Se 0.6667 0.3333 0.6683  3 Ho 2.91, 3 Sm 2.96
Se 0.0000 0.0000 0.5000  6 Sm 2.92
Se 0.3333 0.6667 0.1683  3 Ho 2.91, 3 Sm 2.96
Sm 0.6667 0.3333 0.4171  6 Se 2.92-2.96
Sm 0.3333 0.6667 0.9171  6 Se 2.92-2.96
Sm 0.3333 0.6667 0.5829  6 Se 2.92-2.96
Sm 0.6667 0.3333 0.0829  6 Se 2.92-2.96
Ho 0.0000 0.0000 0.2500  6 Se 2.91
Ho 0.0000 0.0000 0.7500  6 Se 2.91

Summary:
energy above the most stable polymorph in this dataset: 18 meV/atom
space-group type: P6_3/mmc
theoretical density: 7.75 Mg/m³
formation energy (no corrections): -1765 meV/atom
DOS(E_F): 0.502 states/eV per atom

4.
This record from Alexandria describes a relaxed structure of SmHo2Se4. The functional is PBE.

Cell lengths 4.1084, 7.1070, 8.1047 Å; angles 117.39, 104.68, 90.00 degrees
With the nearest neighbours (Å) after each atom.
Fractional coordinates of all 7 atoms:
Se 0.6382 0.2848 0.2764  3 Ho 2.88-2.92, 2 Sm 2.97
Se 0.3618 0.7152 0.7236  3 Ho 2.88-2.92, 2 Sm 2.97
Se 0.1274 0.8033 0.2548  3 Ho 2.82-2.89, 1 Sm 2.93
Se 0.8726 0.1967 0.7452  3 Ho 2.82-2.89, 1 Sm 2.93
Sm 0.0000 0.0000 0.0000  6 Se 2.93-2.97
Ho 0.7361 0.7454 0.4722  6 Se 2.82-2.92
Ho 0.2639 0.2546 0.5278  6 Se 2.82-2.92

Summary:
energy above the most stable polymorph in this dataset: 18 meV/atom
space-group type: C2/m
theoretical density: 6.56 Mg/m³
formation energy (no corrections): -1831 meV/atom
DOS(E_F): 0.375 states/eV per atom

5.
This record from Alexandria describes a relaxed structure of Sm3HoSe4. The functional is PBE.

Cell lengths 4.0904, 7.2112, 7.2112 Å; angles 108.82, 90.00, 90.00 degrees
With the nearest neighbours (Å) after each atom.
Fractional coordinates of all 8 atoms:
Sm 0.5000 0.5000 0.5000  6 Se 2.98
Sm 0.0000 0.0000 0.5000  6 Se 2.93
Sm 0.0000 0.5000 0.0000  6 Se 2.93
Se 0.0000 0.7577 0.7577  2 Ho 2.88, 4 Sm 2.93-2.98
Se 0.0000 0.2423 0.2423  2 Ho 2.88, 4 Sm 2.93-2.98
Se 0.5000 0.2461 0.7539  1 Ho 2.89, 5 Sm 2.93-2.98
Se 0.5000 0.7539 0.2461  1 Ho 2.89, 5 Sm 2.93-2.98
Ho 0.5000 0.0000 0.0000  6 Se 2.88-2.89

Summary:
energy above the most stable polymorph in this dataset: 5 meV/atom
space-group type: Cmmm
theoretical density: 7.69 Mg/m³
formation energy (no corrections): -1791 meV/atom
DOS(E_F): 0.589 states/eV per atom

6.
This record from Alexandria describes a relaxed structure of Sm2Ho3Se6. The functional is PBE.

Cell lengths 7.0917, 7.0654, 7.0996 Å; angles 80.41, 70.61, 59.88 degrees
With the nearest neighbours (Å) after each atom.
Fractional coordinates of all 11 atoms:
Sm 0.8351 0.3298 0.5000  6 Se 2.91-2.95
Sm 0.1649 0.6702 0.5000  6 Se 2.91-2.95
Se 0.0874 0.3275 0.7561  3 Ho 2.85-2.91, 2 Sm 2.94-2.95
Se 0.2588 0.0000 0.2470  3 Ho 2.85-2.93, 2 Sm 2.91
Se 0.9126 0.6725 0.2439  3 Ho 2.85-2.91, 2 Sm 2.94-2.95
Se 0.5851 0.3275 0.2439  3 Ho 2.85-2.91, 2 Sm 2.94-2.95
Se 0.7412 0.0000 0.7530  3 Ho 2.85-2.93, 2 Sm 2.91
Se 0.4149 0.6725 0.7561  3 Ho 2.85-2.91, 2 Sm 2.94-2.95
Ho 0.6658 0.6684 0.0000  6 Se 2.85-2.91
Ho 0.0000 0.0000 0.0000  6 Se 2.85-2.93
Ho 0.3342 0.3316 0.0000  6 Se 2.85-2.91

Summary:
space-group type: C2/m
theoretical density: 7.26 Mg/m³
formation energy (no corrections): -1866 meV/atom
DOS(E_F): 0.396 states/eV per atom